1.
The following is a DFT calculation (GGA-PBE) of a geometry-optimized TmThGaIr structure.

a b c (Å): 5.040 5.040 5.040
angles (deg): 60.00 60.00 60.00
Sites, in units of the cell vectors:
Ir: 0.750 0.750 0.750
Tm: 0.500 0.500 0.500
Ga: 0.250 0.250 0.250
Th: 0.000 0.000 0.000

DFT total energy = -26.198 eV/cell
Fermi-level density of states = 2.5 states/eV/f.u.
Calculated density = 12.162 g/cm³
Formation energy from the elements = -0.6047 eV/atom
Crystal system = cubic


2.
The following is a DFT calculation (GGA-PBE) of a geometry-optimized Tb4DyZn4 structure.

a b c (Å): 6.157 8.755 8.755
angles (deg): 90.00 90.00 90.00
Sites, in units of the cell vectors:
Tb: 0.398 0.284 0.908
Tb: 0.898 0.592 0.784
Tb: 0.398 0.716 0.092
Tb: 0.102 0.216 0.592
Tb: 0.602 0.908 0.716
Tb: 0.102 0.784 0.408
Tb: 0.898 0.408 0.216
Tb: 0.602 0.092 0.284
Dy: 0.000 0.000 0.000
Dy: 0.500 0.500 0.500
Zn: 0.634 0.777 0.382
Zn: 0.634 0.223 0.618
Zn: 0.134 0.882 0.723
Zn: 0.866 0.277 0.882
Zn: 0.866 0.723 0.118
Zn: 0.366 0.382 0.223
Zn: 0.366 0.618 0.777
Zn: 0.134 0.118 0.277

DFT total energy = -57.695 eV/cell
Fermi-level density of states = 9.8 states/eV/f.u.
Calculated density = 7.458 g/cm³
Formation energy from the elements = -0.0698 eV/atom
Crystal system = tetragonal


3.
The following is a DFT calculation (GGA-PBE) of a geometry-optimized TaMnCrSb structure.

a b c (Å): 4.382 4.382 4.382
angles (deg): 60.00 60.00 60.00
Sites, in units of the cell vectors:
Sb: 0.250 0.250 0.250
Mn: 0.500 0.500 0.500
Cr: 0.000 0.000 0.000
Ta: 0.750 0.750 0.750

DFT total energy = -34.506 eV/cell
Fermi-level density of states = 4.2 states/eV/f.u.
Formation energy without anion corrections = 65.5 meV per atom
Calculated density = 11.436 g/cm³
Crystal system = cubic